Entry 1:
This record from the Alexandria database describes a relaxed structure of TiCuPb2O5. The functional is PBE.

Properties
Its total energy is -57.56 eV/f.u. Its volume is 128.7 Å³/f.u.

Cell lengths 8.0059, 8.0059, 10.4032 Å; angles 90.00, 90.00, 157.29 degrees
Closest atoms and distances in Å follow each position.
Fractional positions:
Ti  0.2214  0.7786  0.5000  5 O 1.85-2.07
Ti  0.7786  0.2214  0.0000  5 O 1.85-2.07
Cu  0.4515  0.5485  0.9588  3 O 1.89-1.90
Cu  0.5485  0.4515  0.4588  3 O 1.89-1.90
Pb  0.1101  0.8899  0.7796  3 O 2.37-2.47
Pb  0.1334  0.8666  0.1865  3 O 2.40-2.48
Pb  0.8666  0.1334  0.6865  3 O 2.40-2.48
Pb  0.8899  0.1101  0.2796  3 O 2.37-2.47
O  0.0841  0.9159  0.5456  2 Cu 1.90
O  0.2814  0.7186  0.1283  2 Ti 2.07
O  0.2959  0.7041  0.8812  2 Ti 2.02
O  0.3390  0.6610  0.5076  1 Ti 1.85
O  0.4973  0.5027  0.7912  1 Cu 1.89
O  0.5027  0.4973  0.2912  1 Cu 1.89
O  0.6610  0.3390  0.0076  1 Ti 1.85
O  0.7041  0.2959  0.3812  2 Ti 2.02
O  0.7186  0.2814  0.6283  2 Ti 2.07
O  0.9159  0.0841  0.0456  2 Cu 1.90

***

Entry 2:
This record from the Alexandria database describes a relaxed structure of UCuPb2O6. The functional is PBE.

Properties
Its total energy is -70.28 eV/f.u. Its volume is 152.1 Å³/f.u.

Cell lengths 6.1791, 6.1791, 5.6678 Å; angles 116.78, 116.78, 54.62 degrees
Closest atoms and distances in Å follow each position.
Fractional positions:
U  0.0000  0.0000  0.0000  6 O 1.98-2.18
Cu  0.5000  0.5000  0.5000  4 O 1.99
Pb  0.2470  0.2470  0.7067  5 O 2.54-2.61
Pb  0.7530  0.7530  0.2933  5 O 2.54-2.61
O  0.1998  0.6814  0.6763  1 Cu 1.99, 1 U 2.18
O  0.2011  0.2011  0.1030  1 U 1.98
O  0.3186  0.8002  0.3237  1 Cu 1.99, 1 U 2.18
O  0.6814  0.1998  0.6763  1 Cu 1.99, 1 U 2.18
O  0.7989  0.7989  0.8970  1 U 1.98
O  0.8002  0.3186  0.3237  1 Cu 1.99, 1 U 2.18

***

Entry 3:
This record from the Alexandria database describes a relaxed structure of UCu2PbO6. The functional is PBE.

Properties
Its total energy is -68.69 eV/f.u. Its volume is 162.3 Å³/f.u.

Cell lengths 7.4729, 7.4729, 6.6429 Å; angles 110.51, 110.51, 79.35 degrees
Closest atoms and distances in Å follow each position.
Fractional positions:
U  0.2188  0.7812  0.7500  6 O 1.99-2.20
U  0.7812  0.2188  0.2500  6 O 1.99-2.20
Cu  0.1543  0.2554  0.6445  4 O 1.90-2.01
Cu  0.2554  0.1543  0.1445  4 O 1.90-2.01
Cu  0.7446  0.8457  0.8555  4 O 1.90-2.01
Cu  0.8457  0.7446  0.3555  4 O 1.90-2.01
Pb  0.3965  0.6035  0.2500  6 O 2.48-2.70
Pb  0.6035  0.3965  0.7500  6 O 2.48-2.70
O  0.0905  0.2286  0.3257  2 Cu 1.90-1.94
O  0.1307  0.7221  0.4157  1 U 1.99, 1 Cu 2.01
O  0.2286  0.0905  0.8257  2 Cu 1.90-1.94
O  0.2779  0.8693  0.0843  1 U 1.99, 1 Cu 2.01
O  0.2799  0.4988  0.7936  1 Cu 1.97, 1 U 2.17
O  0.4988  0.2799  0.2936  1 Cu 1.97, 1 U 2.17
O  0.5012  0.7201  0.7064  1 Cu 1.97, 1 U 2.17
O  0.7201  0.5012  0.2064  1 Cu 1.97, 1 U 2.17
O  0.7221  0.1307  0.9157  1 U 1.99, 1 Cu 2.01
O  0.7714  0.9095  0.1743  2 Cu 1.90-1.94
O  0.8693  0.2779  0.5843  1 U 1.99, 1 Cu 2.01
O  0.9095  0.7714  0.6743  2 Cu 1.90-1.94

***

Entry 4:
This record from the Alexandria database describes a relaxed structure of UCuPbO6. The functional is PBE.

Properties
Its total energy is -63.96 eV/f.u. Its volume is 121.5 Å³/f.u.

Cell lengths 5.3409, 5.3409, 9.8351 Å; angles 90.00, 90.00, 120.00 degrees
Closest atoms and distances in Å follow each position.
Fractional positions:
U  0.3333  0.6667  0.2500  6 O 2.09
U  0.6667  0.3333  0.7500  6 O 2.09
Cu  0.3333  0.6667  0.7500  6 O 2.08
Cu  0.6667  0.3333  0.2500  6 O 2.08
Pb  0.0000  0.0000  0.0000  6 O 2.27
Pb  0.0000  0.0000  0.5000  6 O 2.27
O  0.0025  0.3469  0.6347  1 Cu 2.08, 1 U 2.09, 1 Pb 2.27
O  0.0025  0.6556  0.8653  1 Cu 2.08, 1 U 2.09, 1 Pb 2.27
O  0.3444  0.3469  0.8653  1 Cu 2.08, 1 U 2.09, 1 Pb 2.27
O  0.3444  0.9975  0.6347  1 Cu 2.08, 1 U 2.09, 1 Pb 2.27
O  0.3469  0.0025  0.1347  1 Cu 2.08, 1 U 2.09, 1 Pb 2.27
O  0.3469  0.3444  0.3653  1 Cu 2.08, 1 U 2.09, 1 Pb 2.27
O  0.6531  0.6556  0.6347  1 Cu 2.08, 1 U 2.09, 1 Pb 2.27
O  0.6531  0.9975  0.8653  1 Cu 2.08, 1 U 2.09, 1 Pb 2.27
O  0.6556  0.0025  0.3653  1 Cu 2.08, 1 U 2.09, 1 Pb 2.27
O  0.6556  0.6531  0.1347  1 Cu 2.08, 1 U 2.09, 1 Pb 2.27
O  0.9975  0.3444  0.1347  1 Cu 2.08, 1 U 2.09, 1 Pb 2.27
O  0.9975  0.6531  0.3653  1 Cu 2.08, 1 U 2.09, 1 Pb 2.27

***

- Which formula does entry 3 have?
  UCu2PbO6

***

- The lowest volume belongs to which entry?
  UCuPbO6

***

- Among the records above, which one has the lowest total energy?
  UCuPb2O6